Here is an optimized crystal structure of Li7DyPb4 from the Alexandria database. Energies are from PBE.

The structure belongs to space group C2/m (No. 12); the cell edges are 12.9237, 5.1109 and 10.1667 Å and the angles 90.00°, 125.19° and 90.00°. Symmetry generates all atoms from Li at (0.0000, 0.0000, 0.0000), Li at (0.0741, 0.5000, 0.3691), Li at (0.1583, 0.0000, 0.5820), Li at (0.2132, 0.5000, 0.8820), Dy at (0.0000, 0.5000, 0.0000), Pb at (0.0774, 0.0000, 0.7956) and Pb at (0.1975, 0.0000, 0.3111).

The value obtained for the size of the total moment is 0.014 μB per atom. Its crystal system is monoclinic. The calculation puts the energy at -0.2117 Ry per atom.

=====

Here is an optimized crystal structure of CuRu3F from the Alexandria database. Energies are from PBE.

The structure belongs to space group Pm-3m (No. 221); the cell edges are 4.1417, 4.1417 and 4.1417 Å and the angles 90.00°, 90.00° and 90.00°. Symmetry generates all atoms from Cu at (0.0000, 0.0000, 0.0000), Ru at (0.0000, 0.5000, 0.5000) and F at (0.5000, 0.5000, 0.5000).

The value obtained for the size of the total moment is 0.395 μB per atom. The calculation puts the formation energy (no corrections) at 1.11 eV per atom. As for the energy above the most stable polymorph in this dataset: 0 meV/atom. Its crystal system is cubic. The calculation puts the energy at -0.4152 Ry per atom.

=====

Here is an optimized crystal structure of LaIn2Co from the Alexandria database. Energies are from PBE.

The structure belongs to space group Fm-3m (No. 225); the cell edges are 7.1552, 7.1552 and 7.1552 Å and the angles 90.00°, 90.00° and 90.00°. Symmetry generates all atoms from La at (0.0000, 0.0000, 0.0000), In at (0.2500, 0.2500, 0.2500) and Co at (0.0000, 0.0000, 0.5000).

The value obtained for the size of the total moment is 0.128 μB per atom. Its crystal system is cubic. The calculation puts the energy at -0.3206 Ry per atom.

=====

Here is an optimized crystal structure of BeCr2Cu from the Alexandria database. Energies are from PBE.

The structure belongs to space group P4/mmm (No. 123); the cell edges are 3.0568, 3.0568 and 4.7709 Å and the angles 90.00°, 90.00° and 90.00°. Symmetry generates all atoms from Be at (0.0000, 0.0000, 0.0000), Cr at (0.5000, 0.5000, 0.2045) and Cu at (0.0000, 0.0000, 0.5000).

The value obtained for the size of the total moment is 0.000 μB per atom. Its crystal system is tetragonal. The calculation puts the energy at -0.4808 Ry per atom.

=====

Here is an optimized crystal structure of Tb2PrMg2In2 from the Alexandria database. Energies are from PBE.

The structure belongs to space group R-3m (No. 166, hexagonal axes); the cell edges are 5.0293, 5.0293 and 26.7337 Å and the angles 90.00°, 90.00° and 120.00°. Symmetry generates all atoms from Tb at (0.0000, 0.0000, 0.1304), Pr at (0.0000, 0.0000, 0.0000), Mg at (0.0000, 0.0000, 0.4055) and In at (0.0000, 0.0000, 0.2602).

The value obtained for the size of the total moment is 0.000 μB per atom. Its crystal system is trigonal. The calculation puts the energy at -0.2567 Ry per atom.

=====

Here is an optimized crystal structure of Ho2PaPb from the Alexandria database. Energies are from PBE.

The structure belongs to space group P4/mmm (No. 123); the cell edges are 4.8904, 4.8904 and 4.5430 Å and the angles 90.00°, 90.00° and 90.00°. Symmetry generates all atoms from Ho at (0.0000, 0.5000, 0.0000), Pa at (0.0000, 0.0000, 0.5000) and Pb at (0.5000, 0.5000, 0.5000).

The value obtained for the size of the total moment is 0.000 μB per atom. As for the energy above the most stable polymorph in this dataset: 25 meV/atom. Its crystal system is tetragonal. The calculation puts the energy at -0.4143 Ry per atom.